(i)
Entry from Alexandria: a geometry-optimized SnSbTe2F structure (PBE).

a = 5.5951 Å, b = 5.5951 Å, c = 4.3581 Å
α = 90.00°, β = 90.00°, γ = 90.00°
Positions (direct):
1 Sb 0.0000 0.0000 0.5000
2 Te 0.0000 0.5000 0.0000
3 Te 0.5000 0.0000 0.0000
4 Sn 0.5000 0.5000 0.5000
5 F 0.0000 0.0000 0.0000



(ii)
Entry from Alexandria: a geometry-optimized SnSbTe2F structure (PBE).

a = 5.6594 Å, b = 5.6594 Å, c = 5.7375 Å
α = 90.00°, β = 90.00°, γ = 90.00°
Positions (direct):
1 Sb 0.0000 0.0000 0.5000
2 Te 0.0000 0.5000 0.0000
3 Te 0.5000 0.0000 0.0000
4 Sn 0.0000 0.0000 0.0000
5 F 0.5000 0.5000 0.5000



Quick one: most stable of them? (i)



(i)
Entry from Alexandria: a geometry-optimized SnSb2TeF structure (PBE).

a = 5.6767 Å, b = 5.6767 Å, c = 5.6553 Å
α = 90.00°, β = 90.00°, γ = 90.00°
Positions (direct):
1 Sb 0.0000 0.5000 0.0000
2 Sb 0.5000 0.0000 0.0000
3 Te 0.0000 0.0000 0.5000
4 Sn 0.0000 0.0000 0.0000
5 F 0.5000 0.5000 0.5000



(ii)
Entry from Alexandria: a geometry-optimized SnSb2TeF structure (PBE).

a = 4.8133 Å, b = 4.8133 Å, c = 5.6264 Å
α = 90.00°, β = 90.00°, γ = 90.00°
Positions (direct):
1 Sb 0.0000 0.5000 0.0000
2 Sb 0.5000 0.0000 0.0000
3 Te 0.0000 0.0000 0.5000
4 Sn 0.5000 0.5000 0.5000
5 F 0.0000 0.0000 0.0000



Quick one: most stable of them? (ii)



(i)
Entry from Alexandria: a geometry-optimized SrSbF6 structure (PBE).

a = 5.4789 Å, b = 5.1358 Å, c = 5.1358 Å
α = 108.64°, β = 95.96°, γ = 95.96°
Last column: magnetic moment on the atom in μB.
Positions (direct):
1 Sr 0.0000 0.0000 0.0000  0.01
2 Sb 0.5000 0.5000 0.5000  0.22
3 F 0.7534 0.5104 0.8325  0.07
4 F 0.7534 0.8325 0.5104  0.07
5 F 0.2466 0.1675 0.4896  0.07
6 F 0.2466 0.4896 0.1675  0.07
7 F 0.6766 0.2271 0.2271  0.07
8 F 0.3234 0.7729 0.7729  0.07



(ii)
Entry from Alexandria: a geometry-optimized SrSbF6 structure (PBE).

a = 4.9679 Å, b = 4.9679 Å, c = 4.9715 Å
α = 97.07°, β = 97.07°, γ = 97.32°
Last column: magnetic moment on the atom in μB.
Positions (direct):
1 Sr 0.0000 0.0000 0.0000  0.00
2 Sb 0.5000 0.5000 0.5000  0.15
3 F 0.2014 0.2014 0.5700  0.05
4 F 0.5672 0.2011 0.2018  0.05
5 F 0.7986 0.7986 0.4300  0.05
6 F 0.7989 0.4328 0.7982  0.05
7 F 0.4328 0.7989 0.7982  0.05
8 F 0.2011 0.5672 0.2018  0.05



Quick one: most stable of them? (i)



(i)
Entry from Alexandria: a geometry-optimized SrSbF3 structure (PBE).

a = 4.7616 Å, b = 4.7616 Å, c = 4.7616 Å
α = 90.00°, β = 90.00°, γ = 90.00°
Last column: magnetic moment on the atom in μB.
Positions (direct):
1 Sb 0.5000 0.5000 0.5000  0.77
2 F 0.0000 0.5000 0.0000  0.03
3 F 0.0000 0.0000 0.5000  0.10
4 F 0.5000 0.0000 0.0000  0.01
5 Sr 0.0000 0.0000 0.0000  0.00



(ii)
Entry from Alexandria: a geometry-optimized SrSbF3 structure (PBE).

a = 4.7704 Å, b = 4.7704 Å, c = 4.7704 Å
α = 90.00°, β = 90.00°, γ = 90.00°
Positions (direct):
1 Sb 0.0000 0.0000 0.0000
2 F 0.0000 0.5000 0.0000
3 F 0.0000 0.0000 0.5000
4 F 0.5000 0.0000 0.0000
5 Sr 0.5000 0.5000 0.5000



Quick one: most stable of them? (i)



(i)
Entry from Alexandria: a geometry-optimized TaSb3F structure (PBE).

a = 4.7999 Å, b = 4.7999 Å, c = 4.7999 Å
α = 90.00°, β = 90.00°, γ = 90.00°
Last column: magnetic moment on the atom in μB.
Positions (direct):
1 Sb 0.0000 0.5000 0.0000  -0.03
2 Sb 0.0000 0.0000 0.5000  -0.03
3 Sb 0.5000 0.0000 0.0000  -0.02
4 F 0.0000 0.0000 0.0000  -0.01
5 Ta 0.5000 0.5000 0.5000  0.97



(ii)
Entry from Alexandria: a geometry-optimized TaSb3F structure (PBE).

a = 5.2853 Å, b = 5.2853 Å, c = 5.2853 Å
α = 90.00°, β = 90.00°, γ = 90.00°
Positions (direct):
1 Sb 0.0000 0.5000 0.0000
2 Sb 0.0000 0.0000 0.5000
3 Sb 0.5000 0.0000 0.0000
4 F 0.5000 0.5000 0.5000
5 Ta 0.0000 0.0000 0.0000



Quick one: most stable of them? (ii)



(i)
Entry from Alexandria: a geometry-optimized TaSb2F structure (PBE).

a = 5.9458 Å, b = 5.9458 Å, c = 7.5448 Å
α = 66.79°, β = 66.79°, γ = 90.00°
Positions (direct):
1 Sb 0.6085 0.1250 0.2500
2 Sb 0.1415 0.6250 0.2500
3 Sb 0.3750 0.3915 0.7500
4 Sb 0.8750 0.8585 0.7500
5 F 0.5000 0.5000 0.0000
6 F 0.2500 0.7500 0.5000
7 Ta 0.0000 0.0000 0.0000
8 Ta 0.7500 0.2500 0.5000



(ii)
Entry from Alexandria: a geometry-optimized TaSb2F structure (PBE).

a = 4.8228 Å, b = 4.8228 Å, c = 4.8228 Å
α = 60.00°, β = 60.00°, γ = 60.00°
Positions (direct):
1 Sb 0.2500 0.2500 0.2500
2 Sb 0.7500 0.7500 0.7500
3 F 0.0000 0.0000 0.0000
4 Ta 0.5000 0.5000 0.5000



Quick one: most stable of them? (ii)